# 1
The following is a DFT calculation (GGA-PBE) of a relaxed structure of Ca3CuPb.

a b c (Å): 5.9781 5.9781 5.9781
angles (deg): 90.00 90.00 90.00
Last column: nearest neighbours and their distance in Å.
Fractional positions:
Ca  0.0000  0.0000  0.5000  2 Pb 2.99
Ca  0.0000  0.5000  0.0000  2 Pb 2.99
Ca  0.5000  0.0000  0.0000  2 Pb 2.99
Cu  0.5000  0.5000  0.5000  12 Ca 4.23
Pb  0.0000  0.0000  0.0000  6 Ca 2.99

## Properties
Fermi-level density of states: 0.9871 states/eV/atom
E: -2.532 eV per atom
formation energy: 0.23 eV/atom
total moment: 0.00 Bohr magnetons per cell

---

# 2
The following is a DFT calculation (GGA-PBE) of a relaxed structure of NaLaAg2.

a b c (Å): 6.6711 6.6711 6.6711
angles (deg): 154.00 128.70 58.39
Last column: nearest neighbours and their distance in Å.
Fractional positions:
Na  0.0000  0.0000  0.0000  2 Ag 2.77, 2 Na 3.00
La  0.5000  0.5000  0.0000  2 La 3.00, 2 Ag 3.05, 4 Na 3.25
Ag  0.2379  0.2379  0.0000  1 Na 2.77, 2 Ag 3.00, 1 La 3.05
Ag  0.7621  0.7621  0.0000  1 Na 2.77, 2 Ag 3.00, 1 La 3.05

## Properties
Fermi-level density of states: 0.4741 states/eV/atom
E: -2.598 eV per atom
formation energy: 0.39 eV/atom
total moment: 0.00 Bohr magnetons per cell

---

# 3
The following is a DFT calculation (GGA-PBE) of a relaxed structure of Pr5Al12Sn3.

a b c (Å): 14.9404 14.9404 14.9404
angles (deg): 109.47 109.47 109.47
Last column: nearest neighbours and their distance in Å.
Fractional positions:
Pr  0.0000  0.0000  0.0000  6 Al 2.97
Pr  0.0000  0.0000  0.5000  6 Al 2.97
Pr  0.0000  0.5000  0.0000  6 Al 2.97
Pr  0.0000  0.5000  0.5000  6 Al 2.97
Pr  0.1250  0.7500  0.8750  4 Al 3.22
Pr  0.1250  0.8750  0.2500  4 Al 3.22
Pr  0.2500  0.1250  0.8750  4 Al 3.22
Pr  0.2500  0.6250  0.3750  4 Al 3.22
Pr  0.3750  0.2500  0.6250  4 Al 3.22
Pr  0.3750  0.6250  0.7500  4 Al 3.22
Pr  0.5000  0.0000  0.0000  6 Al 2.97
Pr  0.5000  0.0000  0.5000  6 Al 2.97
Pr  0.5000  0.5000  0.0000  6 Al 2.97
Pr  0.5000  0.5000  0.5000  6 Al 2.97
Pr  0.6250  0.3750  0.2500  4 Al 3.22
Pr  0.6250  0.7500  0.3750  4 Al 3.22
Pr  0.7500  0.3750  0.6250  4 Al 3.22
Pr  0.7500  0.8750  0.1250  4 Al 3.22
Pr  0.8750  0.1250  0.7500  4 Al 3.22
Pr  0.8750  0.2500  0.1250  4 Al 3.22
Al  0.0659  0.6581  0.4242  1 Al 2.65, 1 Sn 2.90, 1 Pr 2.97
Al  0.0659  0.9078  0.6417  1 Al 2.65, 1 Sn 2.90, 1 Pr 2.97
Al  0.0758  0.7339  0.6417  1 Al 2.65, 1 Sn 2.90, 1 Pr 2.97
Al  0.0758  0.8419  0.4341  1 Al 2.65, 1 Sn 2.90, 1 Pr 2.97
Al  0.0922  0.2339  0.1581  1 Al 2.65, 1 Sn 2.90, 1 Pr 2.97
Al  0.0922  0.3583  0.9341  1 Al 2.65, 1 Sn 2.90, 1 Pr 2.97
Al  0.1417  0.2339  0.5758  1 Al 2.65, 1 Sn 2.90, 1 Pr 2.97
Al  0.1417  0.4078  0.5659  1 Al 2.65, 1 Sn 2.90, 1 Pr 2.97
Al  0.1581  0.0922  0.2339  1 Al 2.65, 1 Sn 2.90, 1 Pr 2.97
Al  0.1581  0.5659  0.9242  1 Al 2.65, 1 Sn 2.90, 1 Pr 2.97
Al  0.2339  0.1581  0.0922  1 Al 2.65, 1 Sn 2.90, 1 Pr 2.97
Al  0.2339  0.5758  0.1417  1 Al 2.65, 1 Sn 2.90, 1 Pr 2.97
Al  0.2661  0.3583  0.9242  1 Al 2.65, 1 Sn 2.90, 1 Pr 2.97
Al  0.2661  0.4078  0.3419  1 Al 2.65, 1 Sn 2.90, 1 Pr 2.97
Al  0.3419  0.2661  0.4078  1 Al 2.65, 1 Sn 2.90, 1 Pr 2.97
Al  0.3419  0.5758  0.9341  1 Al 2.65, 1 Sn 2.90, 1 Pr 2.97
Al  0.3583  0.9242  0.2661  1 Al 2.65, 1 Sn 2.90, 1 Pr 2.97
Al  0.3583  0.9341  0.0922  1 Al 2.65, 1 Sn 2.90, 1 Pr 2.97
Al  0.4078  0.3419  0.2661  1 Al 2.65, 1 Sn 2.90, 1 Pr 2.97
Al  0.4078  0.5659  0.1417  1 Al 2.65, 1 Sn 2.90, 1 Pr 2.97
Al  0.4242  0.0659  0.6581  1 Al 2.65, 1 Sn 2.90, 1 Pr 2.97
Al  0.4242  0.8583  0.7661  1 Al 2.65, 1 Sn 2.90, 1 Pr 2.97
Al  0.4341  0.0758  0.8419  1 Al 2.65, 1 Sn 2.90, 1 Pr 2.97
Al  0.4341  0.8583  0.5922  1 Al 2.65, 1 Sn 2.90, 1 Pr 2.97
Al  0.5659  0.1417  0.4078  1 Al 2.65, 1 Sn 2.90, 1 Pr 2.97
Al  0.5659  0.9242  0.1581  1 Al 2.65, 1 Sn 2.90, 1 Pr 2.97
Al  0.5758  0.1417  0.2339  1 Al 2.65, 1 Sn 2.90, 1 Pr 2.97
Al  0.5758  0.9341  0.3419  1 Al 2.65, 1 Sn 2.90, 1 Pr 2.97
Al  0.5922  0.4341  0.8583  1 Al 2.65, 1 Sn 2.90, 1 Pr 2.97
Al  0.5922  0.6581  0.7339  1 Al 2.65, 1 Sn 2.90, 1 Pr 2.97
Al  0.6417  0.0659  0.9078  1 Al 2.65, 1 Sn 2.90, 1 Pr 2.97
Al  0.6417  0.0758  0.7339  1 Al 2.65, 1 Sn 2.90, 1 Pr 2.97
Al  0.6581  0.4242  0.0659  1 Al 2.65, 1 Sn 2.90, 1 Pr 2.97
Al  0.6581  0.7339  0.5922  1 Al 2.65, 1 Sn 2.90, 1 Pr 2.97
Al  0.7339  0.5922  0.6581  1 Al 2.65, 1 Sn 2.90, 1 Pr 2.97
Al  0.7339  0.6417  0.0758  1 Al 2.65, 1 Sn 2.90, 1 Pr 2.97
Al  0.7661  0.4242  0.8583  1 Al 2.65, 1 Sn 2.90, 1 Pr 2.97
Al  0.7661  0.8419  0.9078  1 Al 2.65, 1 Sn 2.90, 1 Pr 2.97
Al  0.8419  0.4341  0.0758  1 Al 2.65, 1 Sn 2.90, 1 Pr 2.97
Al  0.8419  0.9078  0.7661  1 Al 2.65, 1 Sn 2.90, 1 Pr 2.97
Al  0.8583  0.5922  0.4341  1 Al 2.65, 1 Sn 2.90, 1 Pr 2.97
Al  0.8583  0.7661  0.4242  1 Al 2.65, 1 Sn 2.90, 1 Pr 2.97
Al  0.9078  0.6417  0.0659  1 Al 2.65, 1 Sn 2.90, 1 Pr 2.97
Al  0.9078  0.7661  0.8419  1 Al 2.65, 1 Sn 2.90, 1 Pr 2.97
Al  0.9242  0.1581  0.5659  1 Al 2.65, 1 Sn 2.90, 1 Pr 2.97
Al  0.9242  0.2661  0.3583  1 Al 2.65, 1 Sn 2.90, 1 Pr 2.97
Al  0.9341  0.0922  0.3583  1 Al 2.65, 1 Sn 2.90, 1 Pr 2.97
Al  0.9341  0.3419  0.5758  1 Al 2.65, 1 Sn 2.90, 1 Pr 2.97
Sn  0.1250  0.2500  0.3750  8 Al 2.90-3.02
Sn  0.1250  0.3750  0.7500  8 Al 2.90-3.02
Sn  0.2500  0.3750  0.1250  8 Al 2.90-3.02
Sn  0.2500  0.8750  0.6250  8 Al 2.90-3.02
Sn  0.3750  0.1250  0.2500  8 Al 2.90-3.02
Sn  0.3750  0.7500  0.1250  8 Al 2.90-3.02
Sn  0.6250  0.2500  0.8750  8 Al 2.90-3.02
Sn  0.6250  0.8750  0.7500  8 Al 2.90-3.02
Sn  0.7500  0.1250  0.3750  8 Al 2.90-3.02
Sn  0.7500  0.6250  0.8750  8 Al 2.90-3.02
Sn  0.8750  0.6250  0.2500  8 Al 2.90-3.02
Sn  0.8750  0.7500  0.6250  8 Al 2.90-3.02

## Properties
Fermi-level density of states: 0.6030 states/eV/atom
E: -3.684 eV per atom
formation energy: 0.36 eV/atom
total moment: 0.00 Bohr magnetons per cell

---

# 4
The following is a DFT calculation (GGA-PBE) of a relaxed structure of Ce2Ge2Se7.

a b c (Å): 7.3793 7.3793 6.3805
angles (deg): 96.94 96.94 96.07
Last column: nearest neighbours and their distance in Å.
Fractional positions:
Ce  0.2111  0.7889  0.0000  6 Se 2.88-2.98
Ce  0.7889  0.2111  0.0000  6 Se 2.88-2.98
Ge  0.2659  0.2659  0.5754  4 Se 2.44-2.46
Ge  0.7341  0.7341  0.4246  4 Se 2.44-2.46
Se  0.0562  0.4238  0.7793  1 Ge 2.44
Se  0.0816  0.0816  0.2593  1 Ge 2.46
Se  0.4238  0.0562  0.7793  1 Ge 2.44
Se  0.5000  0.5000  0.5000  2 Ge 2.44
Se  0.5762  0.9438  0.2207  1 Ge 2.44
Se  0.9184  0.9184  0.7407  1 Ge 2.46
Se  0.9438  0.5762  0.2207  1 Ge 2.44

## Properties
Fermi-level density of states: 0.8327 states/eV/atom
E: -4.958 eV per atom
formation energy from raw total energies: -9.05 eV/f.u.
total moment: 0.89 Bohr magnetons per cell

---

# 5
The following is a DFT calculation (GGA-PBE) of a relaxed structure of Ca2BeTlO5.

a b c (Å): 6.8422 6.8422 10.5406
angles (deg): 90.00 90.00 152.40
Last column: nearest neighbours and their distance in Å.
Fractional positions:
Ca  0.0878  0.9122  0.5000  6 O 2.37-2.58
Ca  0.1320  0.8680  0.1766  8 O 2.42-2.69
Ca  0.8680  0.1320  0.6766  8 O 2.42-2.69
Ca  0.9122  0.0878  0.0000  6 O 2.37-2.58
Be  0.4484  0.5516  0.2452  2 O 1.57-1.66
Be  0.5516  0.4484  0.7452  2 O 1.57-1.66
Tl  0.1974  0.8026  0.8811  6 O 2.20-2.28
Tl  0.8026  0.1974  0.3811  6 O 2.20-2.28
O  0.0338  0.9662  0.8226  2 Be 1.84
O  0.2803  0.7197  0.5287  2 Tl 2.27, 2 Ca 2.54
O  0.3240  0.6760  0.2322  1 Be 1.66
O  0.3603  0.6397  0.8460  1 Tl 2.20, 4 Ca 2.40-2.42
O  0.4957  0.5043  0.6144  1 Be 1.57
O  0.5043  0.4957  0.1144  1 Be 1.57
O  0.6397  0.3603  0.3460  1 Tl 2.20, 4 Ca 2.40-2.42
O  0.6760  0.3240  0.7322  1 Be 1.66
O  0.7197  0.2803  0.0287  2 Tl 2.27, 2 Ca 2.54
O  0.9662  0.0338  0.3226  2 Be 1.84

## Properties
Fermi-level density of states: 0.4156 states/eV/atom
E: -5.821 eV per atom
formation energy from raw total energies: -17.50 eV/f.u.
total moment: 2.12 Bohr magnetons per cell

---

# 6
The following is a DFT calculation (GGA-PBE) of a relaxed structure of SrPtW2.

a b c (Å): 2.8954 2.8954 9.2979
angles (deg): 90.00 90.00 101.53
Last column: nearest neighbours and their distance in Å.
Fractional positions:
Sr  0.0000  0.0000  0.0000  4 Sr 2.90, 2 Pt 3.14
Pt  0.5000  0.5000  0.2737  4 W 2.65-2.95, 4 Pt 2.90
W  0.0000  0.0000  0.4804  4 Pt 2.65-2.95, 6 W 2.74-2.90
W  0.5000  0.5000  0.6995  8 W 2.74-3.03

## Properties
Fermi-level density of states: 1.0393 states/eV/atom
E: -7.965 eV per atom
formation energy: 0.44 eV/atom
total moment: 0.00 Bohr magnetons per cell

---

# 7
The following is a DFT calculation (GGA-PBE) of a relaxed structure of LiAlHg.

a b c (Å): 3.1515 4.0927 8.5087
angles (deg): 90.00 91.46 90.00
Last column: nearest neighbours and their distance in Å.
Fractional positions:
Li  0.2470  0.2500  0.2440  5 Al 2.75-3.05, 5 Hg 2.83-2.99
Li  0.7530  0.7500  0.7560  5 Al 2.75-3.05, 5 Hg 2.83-2.99
Al  0.2492  0.2500  0.5676  5 Li 2.75-3.05, 1 Hg 2.77, 4 Al 2.81-2.85
Al  0.7508  0.7500  0.4324  5 Li 2.75-3.05, 1 Hg 2.77, 4 Al 2.81-2.85
Hg  0.2601  0.2500  0.8933  1 Al 2.77, 5 Li 2.83-2.99
Hg  0.7399  0.7500  0.1067  1 Al 2.77, 5 Li 2.83-2.99

## Properties
Fermi-level density of states: 0.3609 states/eV/atom
E: -2.143 eV per atom
formation energy: -0.16 eV/atom
total moment: 0.00 Bohr magnetons per cell

---

# 8
The following is a DFT calculation (GGA-PBE) of a relaxed structure of Nd2SmTmSe4.

a b c (Å): 7.1780 4.0944 7.3364
angles (deg): 90.00 108.62 90.00
Last column: nearest neighbours and their distance in Å.
Fractional positions:
Nd  0.0000  0.0000  0.0000  6 Se 3.03
Nd  0.5000  0.5000  0.0000  6 Se 2.97
Sm  0.0000  0.5000  0.5000  6 Se 2.92-2.93
Tm  0.5000  0.0000  0.5000  6 Se 2.86
Se  0.2535  0.0000  0.7392  1 Tm 2.86, 2 Sm 2.92, 3 Nd 2.97-3.03
Se  0.2625  0.5000  0.2658  2 Tm 2.86, 1 Sm 2.93, 3 Nd 2.97-3.03
Se  0.7375  0.5000  0.7342  2 Tm 2.86, 1 Sm 2.93, 3 Nd 2.97-3.03
Se  0.7465  0.0000  0.2608  1 Tm 2.86, 2 Sm 2.92, 3 Nd 2.97-3.03

## Properties
Fermi-level density of states: 0.5382 states/eV/atom
E: -5.872 eV per atom
formation energy from raw total energies: -14.31 eV/f.u.
total moment: 0.00 Bohr magnetons per cell

---

# 9
The following is a DFT calculation (GGA-PBE) of a relaxed structure of YScZn2.

a b c (Å): 8.8979 8.8979 8.8979
angles (deg): 22.66 22.66 22.66
Last column: nearest neighbours and their distance in Å.
Fractional positions:
Y  0.0000  0.0000  0.0000  6 Zn 3.05
Sc  0.5000  0.5000  0.5000  6 Zn 2.88
Zn  0.2456  0.2456  0.2456  3 Sc 2.88, 3 Y 3.05
Zn  0.7544  0.7544  0.7544  3 Sc 2.88, 3 Y 3.05

## Properties
Fermi-level density of states: 1.2953 states/eV/atom
E: -3.963 eV per atom
formation energy: -0.13 eV/atom
total moment: 0.00 Bohr magnetons per cell

---

# 10
The following is a DFT calculation (GGA-PBE) of a relaxed structure of LaW.

a b c (Å): 6.5225 6.5225 7.2004
angles (deg): 105.87 105.87 29.91
Last column: nearest neighbours and their distance in Å.
Fractional positions:
La  0.0000  0.0000  0.0000  4 W 3.27-3.39, 5 La 3.30-3.44
La  0.0213  0.0213  0.4676  7 W 3.19-3.48, 5 La 3.28-3.37
La  0.6883  0.6883  0.8225  4 W 3.16-3.22, 6 La 3.28-3.44
W  0.3292  0.3292  0.1782  2 W 2.58
W  0.3397  0.3397  0.6126  2 W 2.58
W  0.7357  0.7357  0.3526  4 W 2.58

## Properties
Fermi-level density of states: 1.2160 states/eV/atom
E: -8.406 eV per atom
formation energy: 0.53 eV/atom
total moment: 0.00 Bohr magnetons per cell

---

# 11
The following is a DFT calculation (GGA-PBE) of a relaxed structure of UCo6Ge4.

a b c (Å): 6.7970 6.7970 3.6772
angles (deg): 90.00 90.00 120.00
Last column: nearest neighbours and their distance in Å.
Fractional positions:
U  0.0000  0.0000  0.0000  6 Ge 2.96, 6 Co 3.00
Co  0.0681  0.5341  0.0000  5 Ge 2.36-2.43
Co  0.4032  0.2016  0.5000  4 Ge 2.35-2.41
Co  0.4659  0.5341  0.0000  5 Ge 2.36-2.43
Co  0.4659  0.9319  0.0000  5 Ge 2.36-2.43
Co  0.7984  0.2016  0.5000  4 Ge 2.35-2.41
Co  0.7984  0.5968  0.5000  4 Ge 2.35-2.41
Ge  0.1971  0.3942  0.5000  6 Co 2.35-2.43
Ge  0.1971  0.8029  0.5000  6 Co 2.35-2.43
Ge  0.6058  0.8029  0.5000  6 Co 2.35-2.43
Ge  0.6667  0.3333  0.0000  9 Co 2.36-2.41

## Properties
Fermi-level density of states: 1.1272 states/eV/atom
E: -6.850 eV per atom
formation energy: -0.27 eV/atom
total moment: 1.05 Bohr magnetons per cell

---

# 12
The following is a DFT calculation (GGA-PBE) of a relaxed structure of SrLaW.

a b c (Å): 8.4954 8.3547 3.3774
angles (deg): 80.79 76.11 23.11
Last column: nearest neighbours and their distance in Å.
Fractional positions:
Sr  0.0000  0.0000  0.0000  4 W 3.17-3.53, 4 Sr 3.38
La  0.2698  0.2698  0.7302  2 W 2.92
W  0.6458  0.6458  0.3542  2 La 2.92, 2 Sr 3.17

## Properties
Fermi-level density of states: 1.2289 states/eV/atom
E: -5.619 eV per atom
formation energy: 0.90 eV/atom
total moment: 0.00 Bohr magnetons per cell